Record 1
This record from Alexandria describes crystalline LiCeYPu at its relaxed geometry. The functional is PBE.

Computed properties:
Magnetic moment   8.145 Bohr magnetons per cell
Calculated formation energy   261 meV per atom

a b c (Å): 5.2957 5.2957 5.2957
angles (deg): 60.00 60.00 60.00
Site moments in Bohr magnetons follow the coordinates.
Element x y z (fractional)
Pu 0.2500 0.2500 0.2500  -5.76
Ce 0.5000 0.5000 0.5000  -1.08
Y 0.0000 0.0000 0.0000  -0.33
Li 0.7500 0.7500 0.7500  0.01

---

Record 2
This record from Alexandria describes crystalline TbHoIrPb at its relaxed geometry. The functional is PBE.

Computed properties:
Magnetic moment   0.000 Bohr magnetons per cell
Calculated formation energy   -681 meV per atom
Offset from the most stable computed form   0 meV/atom

a b c (Å): 3.4944 3.4944 8.0303
angles (deg): 90.00 90.00 90.00
Element x y z (fractional)
Pb 0.0000 0.0000 0.0740
Ir 0.0000 0.0000 0.5679
Ho 0.5000 0.5000 0.3671
Tb 0.5000 0.5000 0.7757

---

Record 3
This record from Alexandria describes crystalline Na3InAg2 at its relaxed geometry. The functional is PBE.

Computed properties:
Magnetic moment   0.000 Bohr magnetons per cell
Calculated formation energy   149 meV per atom

a b c (Å): 5.9771 5.9772 4.9704
angles (deg): 90.00 90.00 120.00
Element x y z (fractional)
Ag 0.3333 0.6667 0.0000
Ag 0.6667 0.3333 0.0000
Na 0.5000 0.5000 0.5000
Na 0.5000 0.0000 0.5000
Na 0.0000 0.5000 0.5000
In 0.0000 0.0000 0.0000

---

Record 4
This record from Alexandria describes crystalline Ag14PdPb at its relaxed geometry. The functional is PBE.

Computed properties:
Magnetic moment   0.000 Bohr magnetons per cell
Calculated formation energy   21 meV per atom

a b c (Å): 5.9391 5.9391 9.6976
angles (deg): 90.00 90.00 121.13
Element x y z (fractional)
Pd 0.5393 0.4607 0.5000
Ag 0.7102 0.7886 0.0000
Ag 0.3762 0.6238 0.2515
Ag 0.8724 0.1276 0.2427
Ag 0.2121 0.7879 0.0000
Ag 0.3798 0.1277 0.2447
Ag 0.3762 0.6238 0.7485
Ag 0.8723 0.6202 0.7553
Ag 0.0364 0.4601 0.5000
Ag 0.5399 0.9636 0.5000
Ag 0.2114 0.2898 0.0000
Ag 0.8724 0.1276 0.7573
Ag 0.8723 0.6202 0.2447
Ag 0.3798 0.1277 0.7553
Ag 0.7108 0.2892 0.0000
Pb 0.0383 0.9617 0.5000

---

Record 5
This record from Alexandria describes crystalline CrPbBr2 at its relaxed geometry. The functional is PBE.

Computed properties:
Magnetic moment   4.529 Bohr magnetons per cell
Formation energy without anion corrections   -0.0406 eV per atom
Offset from the most stable computed form   257 meV/atom

a b c (Å): 3.4366 3.4365 8.9335
angles (deg): 90.00 90.00 90.00
Site moments in Bohr magnetons follow the coordinates.
Element x y z (fractional)
Cr 0.5000 0.5000 0.2500  4.02
Br 0.0000 0.0000 0.0615  0.00
Br 0.0000 0.0000 0.4385  0.00
Pb 0.5000 0.5000 0.7500  0.00

---

Record 6
This record from Alexandria describes crystalline BeSi2W2 at its relaxed geometry. The functional is PBE.

Computed properties:
Magnetic moment   0.000 Bohr magnetons per cell
Formation energy without anion corrections   0.0195 eV per atom

a b c (Å): 6.2669 6.2669 3.4280
angles (deg): 90.00 90.00 90.00
Element x y z (fractional)
W 0.3302 0.1698 0.5000
W 0.8302 0.3302 0.5000
W 0.1698 0.6698 0.5000
W 0.6698 0.8302 0.5000
Si 0.3664 0.8664 0.0000
Si 0.8664 0.6336 0.0000
Si 0.1336 0.3664 0.0000
Si 0.6336 0.1336 0.0000
Be 0.0000 0.0000 0.0000
Be 0.5000 0.5000 0.0000

---

Record 7
This record from Alexandria describes crystalline ZnSi4Ag at its relaxed geometry. The functional is PBE.

Computed properties:
Magnetic moment   0.000 Bohr magnetons per cell
Formation energy without anion corrections   0.4902 eV per atom

a b c (Å): 5.1694 5.1694 5.1694
angles (deg): 60.00 60.00 60.00
Element x y z (fractional)
Ag 0.0000 0.0000 0.0000
Si 0.3750 0.8751 0.3750
Si 0.3750 0.3750 0.8751
Si 0.3750 0.3750 0.3750
Si 0.8751 0.3750 0.3750
Zn 0.7500 0.7500 0.7500

---

Record 8
This record from Alexandria describes crystalline Rb3TbPa2O9 at its relaxed geometry. The functional is PBE.

Computed properties:
Magnetic moment   2.066 Bohr magnetons per cell
Formation energy without anion corrections   -2.7329 eV per atom

a b c (Å): 6.2729 6.2729 7.6541
angles (deg): 90.00 90.00 120.00
Site moments in Bohr magnetons follow the coordinates.
Element x y z (fractional)
O 0.3454 0.1727 0.6730  0.20
O 0.5000 0.0000 0.0000  0.15
O 0.8273 0.6546 0.6730  0.20
O 0.6546 0.8273 0.3270  0.20
O 0.5000 0.5000 0.0000  0.15
O 0.1727 0.8273 0.3270  0.20
O 0.1727 0.3454 0.3270  0.20
O 0.8273 0.1727 0.6730  0.20
O 0.0000 0.5000 0.0000  0.15
Tb 0.0000 0.0000 0.5000  0.02
Pa 0.3333 0.6667 0.1693  0.06
Pa 0.6667 0.3333 0.8307  0.06
Rb 0.6667 0.3333 0.3364  0.00
Rb 0.0000 0.0000 0.0000  0.00
Rb 0.3333 0.6667 0.6636  0.00

---

Record 9
This record from Alexandria describes crystalline Ba3In2Bi3 at its relaxed geometry. The functional is PBE.

Computed properties:
Magnetic moment   0.000 Bohr magnetons per cell
Calculated formation energy   -612 meV per atom
Offset from the most stable computed form   10 meV/atom

a b c (Å): 5.5390 7.0635 16.8283
angles (deg): 90.00 90.00 113.08
Element x y z (fractional)
Bi 0.0490 0.0980 0.9127
Bi 0.9510 0.9020 0.0873
Bi 0.7147 0.4294 0.2500
Bi 0.0490 0.0980 0.5873
Bi 0.2853 0.5706 0.7500
Bi 0.9510 0.9020 0.4127
In 0.1767 0.3534 0.1573
In 0.8233 0.6466 0.6573
In 0.8233 0.6466 0.8427
In 0.1767 0.3534 0.3427
Ba 0.6479 0.2958 0.4661
Ba 0.3521 0.7042 0.9661
Ba 0.5648 0.1297 0.7500
Ba 0.3521 0.7042 0.5339
Ba 0.4352 0.8703 0.2500
Ba 0.6479 0.2958 0.0339

---

Record 10
This record from Alexandria describes crystalline CaSi2H at its relaxed geometry. The functional is PBE.

Computed properties:
Magnetic moment   0.000 Bohr magnetons per cell
Offset from the most stable computed form   65 meV/atom

a b c (Å): 3.8191 3.8191 16.7776
angles (deg): 90.00 90.00 120.00
Element x y z (fractional)
Si 0.6667 0.3333 0.8648
Si 0.6667 0.3333 0.2466
Si 0.3333 0.6667 0.5799
Si 0.0000 0.0000 0.5314
Si 0.0000 0.0000 0.9133
Si 0.3333 0.6667 0.1981
H 0.3333 0.6667 0.7454
H 0.6667 0.3333 0.4120
H 0.0000 0.0000 0.0787
Ca 0.6667 0.3333 0.0576
Ca 0.3333 0.6667 0.3909
Ca 0.0000 0.0000 0.7242

---

Record 11
This record from Alexandria describes crystalline Zn3PdC at its relaxed geometry. The functional is PBE.

Computed properties:
Magnetic moment   0.000 Bohr magnetons per cell
Calculated formation energy   400 meV per atom
Offset from the most stable computed form   0 meV/atom

a b c (Å): 4.1044 4.1044 4.1044
angles (deg): 90.00 90.00 90.00
Element x y z (fractional)
C 0.0000 0.0000 0.0000
Zn 0.5000 0.0000 0.0000
Zn 0.0000 0.5000 0.0000
Zn 0.0000 0.0000 0.5000
Pd 0.5000 0.5000 0.5000

---

Record 12
This record from Alexandria describes crystalline TbDy2Ga2 at its relaxed geometry. The functional is PBE.

Computed properties:
Magnetic moment   0.000 Bohr magnetons per cell
Calculated formation energy   -360 meV per atom
Offset from the most stable computed form   151 meV/atom

a b c (Å): 3.9436 5.7901 12.0427
angles (deg): 81.14 90.00 90.00
Element x y z (fractional)
Dy 0.2500 0.9208 0.8693
Dy 0.7500 0.7636 0.4385
Dy 0.7500 0.0792 0.1307
Dy 0.2500 0.2364 0.5615
Ga 0.7500 0.6415 0.0188
Ga 0.2500 0.3585 0.9812
Ga 0.2500 0.7124 0.6329
Ga 0.7500 0.2876 0.3671
Tb 0.7500 0.4612 0.7896
Tb 0.2500 0.5388 0.2104

---

Record 13
This record from Alexandria describes crystalline NaTcO3 at its relaxed geometry. The functional is PBE.

Computed properties:
Magnetic moment   0.000 Bohr magnetons per cell
Formation energy without anion corrections   -0.8369 eV per atom

a b c (Å): 3.2544 3.2544 5.9432
angles (deg): 90.00 90.00 90.00
Element x y z (fractional)
O 0.5000 0.0000 0.4021
O 0.0000 0.5000 0.4021
O 0.0000 0.0000 0.7555
Tc 0.5000 0.5000 0.5772
Na 0.0000 0.0000 0.1268

---

Record 14
This record from Alexandria describes crystalline NaTlTeO4 at its relaxed geometry. The functional is PBE.

Computed properties:
Magnetic moment   0.000 Bohr magnetons per cell
Formation energy without anion corrections   -1.0434 eV per atom

a b c (Å): 6.7221 7.0309 7.0309
angles (deg): 63.63 61.44 61.44
Element x y z (fractional)
O 0.2990 0.7248 0.2248
O 0.7010 0.2752 0.7752
O 0.2586 0.6966 0.7863
O 0.2586 0.2863 0.1966
O 0.7414 0.3034 0.2137
O 0.2486 0.2752 0.7752
O 0.7414 0.7137 0.8034
O 0.7514 0.7248 0.2248
Tl 0.0000 0.0000 0.5000
Tl 0.5000 0.0000 0.5000
Te 0.3661 0.3839 0.8839
Te 0.6339 0.6161 0.1161
Na 0.0000 0.5000 0.5000
Na 0.0000 0.0000 0.0000

---

Record 15
This record from Alexandria describes crystalline Ba6Cd2AgRh at its relaxed geometry. The functional is PBE.

Computed properties:
Magnetic moment   0.000 Bohr magnetons per cell
Calculated formation energy   -218 meV per atom

a b c (Å): 8.1110 9.1165 12.1277
angles (deg): 90.00 88.79 90.00
Element x y z (fractional)
Ba 0.6593 0.3018 0.5591
Ba 0.8407 0.8018 0.9409
Ba 0.1270 0.4710 0.7607
Ba 0.8730 0.5290 0.2393
Ba 0.3161 0.6698 0.0574
Ba 0.3407 0.6982 0.4409
Ba 0.1593 0.1982 0.0591
Ba 0.6839 0.3302 0.9426
Ba 0.1839 0.1698 0.4426
Ba 0.6270 0.0290 0.2607
Ba 0.3730 0.9710 0.7393
Ba 0.8161 0.8302 0.5574
Ag 0.0000 0.5000 0.5000
Ag 0.5000 0.0000 0.0000
Cd 0.4488 0.3910 0.2497
Cd 0.0512 0.8910 0.2503
Cd 0.9488 0.1090 0.7497
Cd 0.5512 0.6090 0.7503
Rh 0.0000 0.5000 0.0000
Rh 0.5000 0.0000 0.5000

---

Record 16
This record from Alexandria describes crystalline Na2GaBi2 at its relaxed geometry. The functional is PBE.

Computed properties:
Magnetic moment   0.000 Bohr magnetons per cell
Calculated formation energy   -208 meV per atom
Offset from the most stable computed form   0 meV/atom

a b c (Å): 4.8930 6.5252 10.4731
angles (deg): 92.65 76.49 67.98
Element x y z (fractional)
Bi 0.9405 0.7179 0.4011
Bi 0.0595 0.2821 0.5989
Bi 0.6598 0.8017 0.8786
Bi 0.3402 0.1983 0.1214
Na 0.3260 0.6805 0.6676
Na 0.6740 0.3195 0.3324
Na 0.9232 0.2396 0.9140
Na 0.0768 0.7604 0.0860
Ga 0.3432 0.9625 0.3511
Ga 0.6568 0.0375 0.6489

---

Record 17
This record from Alexandria describes crystalline TaTl2Si at its relaxed geometry. The functional is PBE.

Computed properties:
Magnetic moment   0.000 Bohr magnetons per cell
Formation energy without anion corrections   0.7081 eV per atom
Offset from the most stable computed form   429 meV/atom

a b c (Å): 3.8886 3.8886 5.6049
angles (deg): 90.00 90.00 90.00
Element x y z (fractional)
Tl 0.0000 0.0000 0.9989
Tl 0.0000 0.0000 0.5011
Si 0.5000 0.5000 0.2500
Ta 0.5000 0.5000 0.7500

---

Record 18
This record from Alexandria describes crystalline Zr2Al2Cu at its relaxed geometry. The functional is PBE.

Computed properties:
Magnetic moment   0.000 Bohr magnetons per cell
Calculated formation energy   91 meV per atom
Offset from the most stable computed form   507 meV/atom

a b c (Å): 6.9648 6.9648 4.2257
angles (deg): 90.00 90.00 90.00
Element x y z (fractional)
Zr 0.8441 0.3441 0.0000
Zr 0.1559 0.6559 0.0000
Zr 0.3441 0.1559 0.0000
Zr 0.6559 0.8441 0.0000
Cu 0.0000 0.0000 0.0000
Cu 0.5000 0.5000 0.0000
Al 0.1449 0.3551 0.5000
Al 0.3551 0.8551 0.5000
Al 0.6449 0.1449 0.5000
Al 0.8551 0.6449 0.5000

---

Record 19
This record from Alexandria describes crystalline Sr4SbAs at its relaxed geometry. The functional is PBE.

Computed properties:
Magnetic moment   0.000 Bohr magnetons per cell
Formation energy without anion corrections   -0.8356 eV per atom
Offset from the most stable computed form   0 meV/atom

a b c (Å): 7.6459 7.6457 9.4121
angles (deg): 113.97 113.99 89.99
Element x y z (fractional)
Sr 0.8693 0.8690 0.7378
Sr 0.8684 0.3688 0.7375
Sr 0.6313 0.6311 0.2622
Sr 0.6311 0.1313 0.2625
Sr 0.1316 0.6312 0.2625
Sr 0.1307 0.1310 0.2622
Sr 0.3687 0.3689 0.7378
Sr 0.3689 0.8687 0.7375
As 0.0000 0.5000 0.5000
As 0.5000 0.0000 0.5000
Sb 0.2499 0.2500 0.0000
Sb 0.7501 0.7500 0.0000

---

Record 20
This record from Alexandria describes crystalline AcY4Ho5 at its relaxed geometry. The functional is PBE.

Computed properties:
Magnetic moment   0.000 Bohr magnetons per cell
Calculated formation energy   215 meV per atom
Offset from the most stable computed form   0 meV/atom

a b c (Å): 3.5887 11.0994 8.7997
angles (deg): 90.63 101.79 90.00
Element x y z (fractional)
Y 0.6532 0.2495 0.3066
Y 0.9725 0.2577 0.9456
Y 0.3468 0.7505 0.6934
Y 0.0275 0.7423 0.0544
Ac 0.5000 0.0000 0.0000
Ho 0.8270 0.4540 0.6535
Ho 0.1730 0.5460 0.3465
Ho 0.1764 0.9445 0.3533
Ho 0.5000 0.5000 0.0000
Ho 0.8236 0.0555 0.6467